{
  "formula": "PuAgSe",
  "functional": "PBE",
  "state": "optimized geometry",
  "crystal_system": "trigonal",
  "magnetic_moment_mub_per_cell": 10.76,
  "cell": [[2.390, 1.380, 7.887], [-2.390, 1.380, 7.887], [0.000, -2.760, 7.887]],
  "species": ["Pu", "Pu", "Ag", "Ag", "Se", "Se"],
  "frac_coords": [[0.089, 0.089, 0.089], [0.911, 0.911, 0.911], [0.336, 0.336, 0.336], [0.664, 0.664, 0.664], [0.213, 0.213, 0.213], [0.787, 0.787, 0.787]]
}

***

{
  "formula": "PuAg5Se4",
  "functional": "PBE",
  "state": "optimized geometry",
  "crystal_system": "orthorhombic",
  "magnetic_moment_mub_per_cell": 4.98,
  "cell": [[-2.160, 3.848, 7.289], [2.160, -3.848, 7.289], [2.160, 3.848, -7.289]],
  "species": ["Pu", "Ag", "Ag", "Ag", "Ag", "Ag", "Se", "Se", "Se", "Se"],
  "frac_coords": [[0.000, 0.000, 0.000], [0.041, 0.319, 0.722], [0.403, 0.681, 0.722], [0.500, 0.000, 0.500], [0.597, 0.319, 0.278], [0.959, 0.681, 0.278], [0.205, 0.205, 0.000], [0.264, 0.500, 0.764], [0.736, 0.500, 0.236], [0.795, 0.795, 0.000]]
}

***

{
  "formula": "PuAg8Se6",
  "functional": "PBE",
  "state": "optimized geometry",
  "crystal_system": "trigonal",
  "magnetic_moment_mub_per_cell": 3.99,
  "cell": [[3.810, 2.200, 7.083], [-3.810, 2.200, 7.083], [0.000, -4.399, 7.083]],
  "species": ["Pu", "Ag", "Ag", "Ag", "Ag", "Ag", "Ag", "Ag", "Ag", "Se", "Se", "Se", "Se", "Se", "Se"],
  "frac_coords": [[0.000, 0.000, 0.000], [0.113, 0.826, 0.635], [0.174, 0.365, 0.887], [0.365, 0.887, 0.174], [0.427, 0.427, 0.427], [0.573, 0.573, 0.573], [0.635, 0.113, 0.826], [0.826, 0.635, 0.113], [0.887, 0.174, 0.365], [0.051, 0.752, 0.404], [0.248, 0.596, 0.949], [0.404, 0.051, 0.752], [0.596, 0.949, 0.248], [0.752, 0.404, 0.051], [0.949, 0.248, 0.596]]
}

***

Values of final energy, in order: -7.565; -4.633; -4.174, all in eV per atom.